# 1
Below is a geometry-optimized LaScIn2 structure, with properties calculated at the GGA-PBEsol level.

Calculated formation energy ... -0.438 eV per atom
Total energy ... -19.67 eV per cell

Structure (extended XYZ):
```
4
Lattice="4.764 0.000 0.000 0.000 4.764 0.000 0.000 0.000 4.507" Properties=species:S:1:pos:R:3 pbc="T T T"
La 0.000 0.000 0.000
Sc 2.382 2.382 0.000
In 0.000 2.382 2.253
In 2.382 0.000 2.253
```

=====

# 2
Below is a geometry-optimized LaMoAsC2 structure, with properties calculated at the GGA-PBEsol level.

Calculated formation energy ... 1.722 eV per atom
Total energy ... -32.90 eV per cell

Structure (extended XYZ):
```
5
Lattice="4.170 0.000 0.000 0.000 4.170 0.000 0.000 0.000 4.685" Properties=species:S:1:pos:R:3 pbc="T T T"
La 0.000 0.000 0.000
Mo 2.085 2.085 0.000
As 2.085 2.085 2.342
C 0.000 2.085 2.342
C 2.085 0.000 2.342
```

=====

# 3
Below is a geometry-optimized Mg2InSb structure, with properties calculated at the GGA-PBEsol level.

Energy relative to the elements, uncorrected ... -0.113 eV per atom
Total energy ... -11.43 eV per cell

Structure (extended XYZ):
```
4
Lattice="-1.718 2.339 6.171 1.718 -2.339 6.171 1.718 2.339 -6.171" Properties=species:S:1:pos:R:3 pbc="T T T"
Mg 0.000 0.000 0.000
Mg 0.000 2.339 3.253
In 0.000 0.000 5.389
Sb 1.718 0.000 2.441
```

=====

# 4
Below is a geometry-optimized LaReMo2 structure, with properties calculated at the GGA-PBEsol level.

Calculated formation energy ... 0.602 eV per atom
Total energy ... -39.81 eV per cell

Structure (extended XYZ):
```
4
Lattice="1.445 0.834 9.873 -1.445 0.834 9.873 0.000 -1.669 9.873" Properties=species:S:1:pos:R:3 pbc="T T T"
La 0.000 0.000 0.000
Re 0.000 0.000 14.809
Mo 0.000 0.000 7.048
Mo 0.000 0.000 22.570
```

=====

> total energy of number 4 (LaReMo2)?

-39.81 eV per cell